HfNb2Os | GGA-PBE | relaxed

```
HfNb2Os
1.0
4.430 0.016 -1.229
-0.353 4.416 -1.229
-0.311 -0.338 7.461
Hf Nb Os
2 4 2
Cartesian
1.423 1.547 0.844
2.342 2.546 4.158
3.481 3.784 -0.314
0.284 0.309 5.316
2.059 -0.161 3.116
-0.332 2.039 3.116
0.842 3.316 -1.229
3.234 1.116 -1.229
```

Properties
**Calculated formation energy**: -0.248 eV/atom
**Fermi-level density of states**: 6.18 states/eV per cell